[1]
VASP calculation (PBE) on crystalline HgAsPtI2 at its relaxed geometry.

Unit cell a=5.825 b=4.686 c=5.825 alpha=90.00 beta=90.00 gamma=90.00
Fractional coordinates of all 5 atoms:
I  0.000  0.000  0.500
I  0.500  0.000  0.000
As  0.000  0.500  0.000
Hg  0.500  0.500  0.500
Pt  0.000  0.000  0.000

The value obtained for the uncorrected formation energy is 199 meV per atom. The calculation puts the total energy at -0.0963 Ha/atom. Its crystal system is tetragonal. The value obtained for the mass density is 7564 kg/m³.

---

[2]
VASP calculation (PBE) on crystalline RbHgAsI2 at its relaxed geometry.

Unit cell a=6.001 b=7.002 c=6.001 alpha=90.00 beta=90.00 gamma=90.00
Each line ends with the local moment (μB).
Fractional coordinates of all 5 atoms:
I  0.000  0.000  0.500  0.04
I  0.500  0.000  0.000  0.04
As  0.500  0.500  0.500  1.11
Hg  0.000  0.000  0.000  0.00
Rb  0.000  0.500  0.000  0.01

The value obtained for the uncorrected formation energy is 114 meV per atom. The calculation puts the total energy at -0.0621 Ha/atom. Its crystal system is tetragonal. The value obtained for the mass density is 4049 kg/m³.

---

[3]
VASP calculation (PBE) on crystalline RbHgAsI2 at its relaxed geometry.

Unit cell a=6.074 b=5.465 c=6.074 alpha=90.00 beta=90.00 gamma=90.00
Fractional coordinates of all 5 atoms:
I  0.000  0.000  0.500
I  0.500  0.000  0.000
As  0.000  0.000  0.000
Hg  0.000  0.500  0.000
Rb  0.500  0.500  0.500

The value obtained for the uncorrected formation energy is -480 meV per atom. The calculation puts the total energy at -0.0839 Ha/atom. Its crystal system is tetragonal. The value obtained for the mass density is 5063 kg/m³.

---

[4]
VASP calculation (PBE) on crystalline Rb2HgAsI at its relaxed geometry.

Unit cell a=6.854 b=6.854 c=5.012 alpha=90.00 beta=90.00 gamma=90.00
Fractional coordinates of all 5 atoms:
I  0.500  0.500  0.500
As  0.000  0.000  0.000
Hg  0.000  0.000  0.500
Rb  0.000  0.500  0.000
Rb  0.500  0.000  0.000

The value obtained for the uncorrected formation energy is -594 meV per atom. The calculation puts the total energy at -0.0838 Ha/atom. Its crystal system is tetragonal. The value obtained for the mass density is 4044 kg/m³.

---

[5]
VASP calculation (PBE) on crystalline Hg4AsS2I at its relaxed geometry.

Unit cell a=8.861 b=8.861 c=7.830 alpha=116.22 beta=116.22 gamma=102.41
Fractional coordinates of all 16 atoms:
Hg  0.235  0.833  0.034
Hg  0.667  0.265  0.466
Hg  0.333  0.735  0.534
Hg  0.765  0.167  0.966
Hg  0.742  0.759  0.016
Hg  0.741  0.758  0.484
Hg  0.259  0.242  0.516
Hg  0.258  0.241  0.984
As  0.500  0.500  0.500
As  0.000  0.000  0.000
S  0.500  0.000  0.000
S  0.500  0.000  0.500
S  0.000  0.000  0.500
S  0.500  0.500  0.000
I  0.000  0.500  0.000
I  0.000  0.500  0.500

The value obtained for the uncorrected formation energy is 95 meV per atom. The calculation puts the total energy at -0.0684 Ha/atom. Its crystal system is orthorhombic. The value obtained for the mass density is 8334 kg/m³.

---

[6]
VASP calculation (PBE) on crystalline Hg2AsSI at its relaxed geometry.

Unit cell a=6.256 b=5.107 c=6.256 alpha=90.00 beta=90.00 gamma=90.00
Each line ends with the local moment (μB).
Fractional coordinates of all 5 atoms:
I  0.000  0.000  0.000  -0.09
As  0.500  0.500  0.500  1.08
S  0.000  0.500  0.000  -0.03
Hg  0.000  0.000  0.500  0.02
Hg  0.500  0.000  0.000  -0.02

The value obtained for the uncorrected formation energy is 917 meV per atom. The calculation puts the total energy at -0.0467 Ha/atom. Its crystal system is tetragonal. The value obtained for the mass density is 5277 kg/m³.

---

Number 1: size of the total moment 0.0 μB per cell. Number 2: size of the total moment 2.8 μB per cell. Number 3: size of the total moment 0.0 μB per cell. Number 4: size of the total moment 0.0 μB per cell. Number 5: size of the total moment 0.0 μB per cell. Number 6: size of the total moment 2.3 μB per cell.